The following is a GGA+U calculation of Li7V3NiP6O24 after structural relaxation, from Alexandria via LeMat-Bulk.

Values from the calculation:
The value obtained for the total DFT energy (no corrections) is -6.856 eV/atom. The value obtained for the offset from the most stable computed form is 0.0095 eV per atom.

Cell lengths 9.072, 9.072, 9.072 Å; angles 55.45, 55.45, 55.45 degrees
Last column: magnetic moment on the atom in μB.
Atoms (fractional coordinates):
Li  0.570  0.236  0.835  0.00
Li  0.236  0.835  0.570  0.00
Li  0.166  0.419  0.774  0.00
Li  0.963  0.963  0.963  0.00
Li  0.835  0.570  0.236  0.00
Li  0.774  0.166  0.419  0.00
Li  0.419  0.774  0.166  0.00
V  0.647  0.647  0.647  1.87
V  0.846  0.846  0.846  2.00
V  0.356  0.356  0.356  1.89
Ni  0.151  0.151  0.151  1.81
P  0.252  0.544  0.957  0.01
P  0.957  0.252  0.544  0.01
P  0.544  0.957  0.252  0.01
P  0.460  0.043  0.748  0.01
P  0.043  0.748  0.460  0.01
P  0.748  0.460  0.043  0.01
O  0.112  0.305  0.500  0.00
O  0.500  0.112  0.305  0.00
O  0.305  0.500  0.112  0.00
O  0.034  0.685  0.993  -0.01
O  0.372  0.650  0.753  0.00
O  0.283  0.360  0.951  0.02
O  0.993  0.034  0.685  -0.01
O  0.753  0.372  0.650  0.00
O  0.650  0.753  0.372  0.00
O  0.652  0.046  0.714  -0.02
O  0.332  0.003  0.962  0.02
O  0.046  0.714  0.652  -0.02
O  0.951  0.283  0.360  0.02
O  0.685  0.993  0.034  -0.01
O  0.360  0.951  0.283  0.02
O  0.362  0.250  0.625  -0.01
O  0.250  0.625  0.362  -0.01
O  0.003  0.962  0.332  0.02
O  0.714  0.652  0.046  -0.02
O  0.625  0.362  0.250  -0.01
O  0.962  0.332  0.003  0.02
O  0.678  0.512  0.897  0.00
O  0.512  0.897  0.678  0.00
O  0.897  0.678  0.512  0.00